No. 1
# NbHgB2Rh | Alexandria | PBE | relaxed
# Crystal system: tetragonal
# E_tot in eV/cell: -21.44
# Calculated formation energy in eV/atom: 1.93
data_NbHgB2Rh
_symmetry_space_group_name_H-M 'P 4/m m m'
_symmetry_Int_Tables_number 123
_symmetry_space_group_name_Hall '-P 4 2'
_cell_length_a 4.081
_cell_length_b 4.081
_cell_length_c 5.209
_cell_angle_alpha 90.00
_cell_angle_beta 90.00
_cell_angle_gamma 90.00
loop_
_atom_site_label
_atom_site_type_symbol
_atom_site_fract_x
_atom_site_fract_y
_atom_site_fract_z
Nb1 Nb 0.000 0.000 0.000
Hg1 Hg 0.500 0.500 0.500
B1 B 0.000 0.500 0.500
Rh1 Rh 0.500 0.500 0.000



No. 2
# Zr2HgAu | Alexandria | PBE | relaxed
# Crystal system: tetragonal
# E_tot in eV/cell: -21.95
# Calculated formation energy in eV/atom: -0.32
data_Zr2HgAu
_symmetry_space_group_name_H-M 'P 4/m m m'
_symmetry_Int_Tables_number 123
_symmetry_space_group_name_Hall '-P 4 2'
_cell_length_a 4.401
_cell_length_b 4.401
_cell_length_c 4.264
_cell_angle_alpha 90.00
_cell_angle_beta 90.00
_cell_angle_gamma 90.00
loop_
_atom_site_label
_atom_site_type_symbol
_atom_site_fract_x
_atom_site_fract_y
_atom_site_fract_z
Zr1 Zr 0.000 0.500 0.000
Hg1 Hg 0.000 0.000 0.500
Au1 Au 0.500 0.500 0.500



No. 3
# GdLuPu4 | Alexandria | PBE | relaxed
# Crystal system: cubic
# E_tot in eV/cell: -298.39
# Calculated formation energy in eV/atom: 0.22
data_GdLuPu4
_symmetry_space_group_name_H-M 'F -4 3 m'
_symmetry_Int_Tables_number 216
_symmetry_space_group_name_Hall 'F -4 2 3'
_cell_length_a 8.685
_cell_length_b 8.685
_cell_length_c 8.685
_cell_angle_alpha 90.00
_cell_angle_beta 90.00
_cell_angle_gamma 90.00
loop_
_atom_site_label
_atom_site_type_symbol
_atom_site_fract_x
_atom_site_fract_y
_atom_site_fract_z
Gd1 Gd 0.000 0.000 0.000
Lu1 Lu 0.250 0.250 0.750
Pu1 Pu 0.125 0.125 0.375



No. 4
# ZrNb | Alexandria | PBE | relaxed
# Crystal system: tetragonal
# E_tot in eV/cell: -142.50
# Calculated formation energy in eV/atom: 0.40
data_ZrNb
_symmetry_space_group_name_H-M 'P 4/m'
_symmetry_Int_Tables_number 83
_symmetry_space_group_name_Hall '-P 4'
_cell_length_a 8.094
_cell_length_b 8.094
_cell_length_c 5.422
_cell_angle_alpha 90.00
_cell_angle_beta 90.00
_cell_angle_gamma 90.00
loop_
_atom_site_label
_atom_site_type_symbol
_atom_site_fract_x
_atom_site_fract_y
_atom_site_fract_z
Zr1 Zr 0.073 0.298 0.000
Zr2 Zr 0.075 0.707 0.500
Nb1 Nb 0.278 0.413 0.500
Nb2 Nb 0.281 0.590 0.000



Question: Look up the calculated formation energy of the first one.
Answer: 1.93 eV/atom